# 1
La2NbOsPd | PBE | optimized geometry

Cell lengths 5.518, 5.518, 4.774 Å; angles 90.00, 90.00, 90.00 degrees
Space group P4/mmm (No. 123)
Inequivalent atoms, fractional coordinates:
La (0.000, 0.500, 0.000)
Nb (0.000, 0.000, 0.500)
Os (0.500, 0.500, 0.500)
Pd (0.000, 0.000, 0.000)

calculated formation energy	1.006	eV/atom
energy	-6.264	eV per atom

=====

# 2
Nb2Tc2H | PBE | optimized geometry

Cell lengths 4.258, 4.258, 10.726 Å; angles 90.00, 90.00, 90.00 degrees
Space group I4/mmm (No. 139)
Inequivalent atoms, fractional coordinates:
Nb (0.000, 0.500, 0.250)
Tc (0.000, 0.000, 0.117)
H (0.000, 0.000, 0.500)

polymorph energy (0 for the lowest one)	399	meV per atom
energy	-7.740	eV per atom

=====

# 3
Tl2ZnTe | PBE | optimized geometry

Cell lengths 3.956, 3.956, 7.594 Å; angles 90.00, 90.00, 90.00 degrees
Space group P4/mmm (No. 123)
Inequivalent atoms, fractional coordinates:
Tl (0.000, 0.000, 0.246)
Zn (0.500, 0.500, 0.000)
Te (0.500, 0.500, 0.500)

polymorph energy (0 for the lowest one)	98	meV per atom
formation energy from raw total energies	0.014	eV/atom
energy	-2.274	eV per atom

=====

# 4
La4Nd6Er | PBE | optimized geometry

Cell lengths 6.803, 6.803, 17.021 Å; angles 90.00, 90.00, 90.00 degrees
Space group I-42m (No. 121)
Inequivalent atoms, fractional coordinates:
La (0.161, 0.161, 0.377)
Nd (0.000, 0.500, 0.000)
Nd (0.184, 0.184, 0.180)
Er (0.000, 0.000, 0.000)

polymorph energy (0 for the lowest one)	0	meV per atom
calculated formation energy	0.244	eV/atom
energy	-4.564	eV per atom

=====

# 5
Co2NiSb | PBE | optimized geometry

Cell lengths 3.732, 3.732, 3.667 Å; angles 90.00, 90.00, 90.00 degrees
Space group P4/mmm (No. 123)
Inequivalent atoms, fractional coordinates:
Co (0.000, 0.500, 0.000)
Ni (0.000, 0.000, 0.500)
Sb (0.500, 0.500, 0.500)

formation energy from raw total energies	0.004	eV/atom
energy	-6.025	eV per atom

=====

# 6
HfSc2Au2 | PBE | optimized geometry

Cell lengths 7.783, 7.783, 3.418 Å; angles 90.00, 90.00, 90.00 degrees
Space group P4/mbm (No. 127)
Inequivalent atoms, fractional coordinates:
Hf (0.000, 0.000, 0.000)
Sc (0.165, 0.335, 0.500)
Au (0.134, 0.634, 0.000)

polymorph energy (0 for the lowest one)	0	meV per atom
calculated formation energy	-0.556	eV/atom
energy	-6.391	eV per atom

=====

# 7
Ti12Fe5H3 | PBE | optimized geometry

Cell lengths 13.652, 13.652, 13.652 Å; angles 90.00, 90.00, 90.00 degrees
Space group Ia-3d (No. 230)
Inequivalent atoms, fractional coordinates:
Ti (0.029, 0.081, 0.643)
Fe (0.000, 0.000, 0.000)
Fe (0.000, 0.250, 0.375)
H (0.000, 0.250, 0.125)

energy	-6.644	eV per atom

=====

# 8
Sr3ScNi | PBE | optimized geometry

Cell lengths 6.198, 6.198, 6.198 Å; angles 90.00, 90.00, 90.00 degrees
Space group Pm-3m (No. 221)
Inequivalent atoms, fractional coordinates:
Sr (0.000, 0.000, 0.500)
Sc (0.000, 0.000, 0.000)
Ni (0.500, 0.500, 0.500)

polymorph energy (0 for the lowest one)	891	meV per atom
calculated formation energy	1.177	eV/atom
energy	-2.254	eV per atom

=====

Question: What is the formula in the eighth record?
Answer: Sr3ScNi